a | GGA-PBE Er3AlAg, relaxed; SG = C2/c
1.0
-1.093 0.217 -6.530
-5.055 -3.015 -3.040
-8.576 11.224 0.660
Al Ag Er
4 4 12
Cartesian
-3.927 -0.728 -3.848
-7.288 5.640 -4.335
-10.796 9.154 -5.062
-7.435 2.786 -4.575
-4.927 1.645 -4.876
-9.797 6.782 -4.034
-0.547 0.109 -3.265
-6.815 4.105 -1.190
-2.053 1.242 -5.459
-5.776 1.388 -1.947
-7.664 8.957 -3.730
-5.295 4.091 -6.501
-12.670 7.184 -3.451
-7.059 -0.530 -5.180
-10.090 4.199 -5.574
-9.428 4.336 -2.409
-4.365 -0.240 -7.169
-4.633 4.227 -3.336
-10.358 8.667 -1.741
-8.947 7.039 -6.963



b | GGA-PBE Er3AlAg, relaxed; SG = Cmcm
1.0
4.879 0.000 1.115
0.000 5.005 0.000
0.199 0.000 10.360
Er Al Ag
6 2 2
Cartesian
2.073 1.251 9.442
1.289 3.754 1.641
4.500 3.754 10.051
0.459 3.754 5.274
2.903 1.251 5.809
3.740 1.251 2.146
4.923 1.251 8.203
3.318 3.754 3.994
0.861 1.251 3.513
2.501 3.754 7.570



How do the structures above rank in stability at the extremes? b comes first and a comes last.